# 1
Entry from Alexandria via LeMat-Bulk: a relaxed structure of Y2Si4AgPt3 (PBE-GGA).

Geometry as POSCAR:
```
Y2Si4AgPt3
1.0
4.212 0.000 0.000
0.000 4.212 0.000
0.000 0.000 9.993
Y Si Ag Pt
2 4 1 3
Direct
0.000 0.500 0.246
0.500 0.000 0.754
0.000 0.000 0.000
0.000 0.500 0.641
0.500 0.000 0.359
0.500 0.500 0.000
0.000 0.000 0.500
0.000 0.500 0.880
0.500 0.000 0.120
0.500 0.500 0.500
```

Summary:
Space group ... P-4m2
Total moment ... 0.00 μB per formula unit
E_form (uncorrected) ... -0.932 eV/atom

***

# 2
Entry from Alexandria via LeMat-Bulk: a relaxed structure of Ac2Ge2Ru (PBE-GGA).

Geometry as POSCAR:
```
Ac2Ge2Ru
1.0
5.891 -2.172 0.000
5.891 2.172 0.000
-5.225 0.000 10.394
Ac Ge Ru
4 4 2
Direct
0.100 0.100 0.392
0.289 0.289 0.859
0.711 0.711 0.141
0.900 0.900 0.608
0.036 0.036 0.911
0.386 0.386 0.380
0.614 0.614 0.620
0.964 0.964 0.089
0.445 0.445 0.194
0.555 0.555 0.806
```

Summary:
Space group ... C2/m
Total moment ... 0.00 μB per formula unit

***

# 3
Entry from Alexandria via LeMat-Bulk: a relaxed structure of Ba5NdSb4 (PBE-GGA).

Geometry as POSCAR:
```
Ba5NdSb4
1.0
11.090 -2.513 0.000
11.090 2.513 0.000
-3.786 0.000 8.355
Ba Nd Sb
5 1 4
Direct
0.000 0.000 0.000
0.334 0.334 0.085
0.334 0.334 0.581
0.666 0.666 0.419
0.666 0.666 0.915
0.000 0.000 0.500
0.187 0.187 0.688
0.500 0.500 0.267
0.500 0.500 0.733
0.813 0.813 0.312
```

Summary:
Space group ... C2/m
Total moment ... 1.00 μB per formula unit
E_form (uncorrected) ... -0.892 eV/atom

***

# 4
Entry from Alexandria via LeMat-Bulk: a relaxed structure of YTm2Ga2Cu2 (PBE-GGA).

Geometry as POSCAR:
```
YTm2Ga2Cu2
1.0
2.180 1.259 9.012
-2.180 1.259 9.012
0.000 -2.517 9.012
Y Tm Ga Cu
1 2 2 2
Direct
0.000 0.000 0.000
0.125 0.125 0.125
0.875 0.875 0.875
0.261 0.261 0.261
0.739 0.739 0.739
0.401 0.401 0.401
0.599 0.599 0.599
```

Summary:
Space group ... R-3m
Total moment ... 0.00 μB per formula unit

***

# 5
Entry from Alexandria via LeMat-Bulk: a relaxed structure of BaInRh2 (PBE-GGA).

Geometry as POSCAR:
```
BaInRh2
1.0
6.006 0.000 0.000
0.000 5.547 0.000
0.000 0.000 12.747
Ba In Rh
4 4 8
Direct
0.250 0.000 0.079
0.250 0.500 0.373
0.750 0.000 0.921
0.750 0.500 0.627
0.250 0.000 0.786
0.250 0.500 0.824
0.750 0.000 0.214
0.750 0.500 0.176
0.000 0.000 0.500
0.000 0.500 0.000
0.250 0.268 0.618
0.250 0.732 0.618
0.500 0.000 0.500
0.500 0.500 0.000
0.750 0.268 0.382
0.750 0.732 0.382
```

Summary:
Space group ... Pmma
Total moment ... 0.00 μB per formula unit

***

# 6
Entry from Alexandria via LeMat-Bulk: a relaxed structure of TiNb2Rh2 (PBE-GGA).

Geometry as POSCAR:
```
TiNb2Rh2
1.0
7.707 0.000 0.000
0.000 7.707 0.000
0.000 0.000 2.886
Ti Nb Rh
2 4 4
Direct
0.000 0.000 0.000
0.500 0.500 0.000
0.157 0.343 0.000
0.343 0.843 0.000
0.657 0.157 0.000
0.843 0.657 0.000
0.140 0.640 0.500
0.360 0.140 0.500
0.640 0.860 0.500
0.860 0.360 0.500
```

Summary:
Space group ... P4/mbm
Total moment ... 1.27 μB per formula unit

***

# 7
Entry from Alexandria via LeMat-Bulk: a relaxed structure of NaC2O4 (PBE-GGA).

Geometry as POSCAR:
```
NaC2O4
1.0
1.414 0.816 10.106
-1.414 0.816 10.106
0.000 -1.633 10.106
Na C O
1 2 4
Direct
0.000 0.000 0.000
0.242 0.242 0.242
0.758 0.758 0.758
0.112 0.112 0.112
0.283 0.283 0.283
0.717 0.717 0.717
0.888 0.888 0.888
```

Summary:
Space group ... R-3m
Total moment ... 0.59 μB per formula unit
E_form (uncorrected) ... -0.368 eV/atom

***

# 8
Entry from Alexandria via LeMat-Bulk: a relaxed structure of LiY2As2 (PBE-GGA).

Geometry as POSCAR:
```
LiY2As2
1.0
7.648 0.000 0.000
0.000 7.648 0.000
0.000 0.000 3.880
Li Y As
2 4 4
Direct
0.000 0.000 0.000
0.500 0.500 0.000
0.154 0.346 0.500
0.346 0.846 0.500
0.654 0.154 0.500
0.846 0.654 0.500
0.156 0.656 0.000
0.344 0.156 0.000
0.656 0.844 0.000
0.844 0.344 0.000
```

Summary:
Space group ... P4/mbm
Total moment ... 0.72 μB per formula unit

***

# 9
Entry from Alexandria via LeMat-Bulk: a relaxed structure of NaMn2Co (PBE-GGA).

Geometry as POSCAR:
```
NaMn2Co
1.0
0.000 2.911 2.911
2.911 0.000 2.911
2.911 2.911 0.000
Na Mn Co
1 2 1
Direct
0.000 0.000 0.000
0.250 0.250 0.250
0.750 0.750 0.750
0.500 0.500 0.500
```

Summary:
Space group ... Fm-3m
Total moment ... 0.00 μB per formula unit

***

# 10
Entry from Alexandria via LeMat-Bulk: a relaxed structure of NaIn4Ag7 (PBE-GGA).

Geometry as POSCAR:
```
NaIn4Ag7
1.0
5.536 -2.573 0.000
5.536 2.573 0.000
-5.519 0.000 9.109
Na In Ag
1 4 7
Direct
0.000 0.000 0.000
0.275 0.275 0.688
0.408 0.408 0.224
0.592 0.592 0.776
0.725 0.725 0.312
0.042 0.042 0.378
0.215 0.215 0.916
0.349 0.349 0.463
0.500 0.500 0.000
0.651 0.651 0.537
0.785 0.785 0.084
0.958 0.958 0.622
```

Summary:
Space group ... C2/m
Total moment ... 0.00 μB per formula unit

***

# 11
Entry from Alexandria via LeMat-Bulk: a relaxed structure of Tb2PmDy3S6 (PBE-GGA).

Geometry as POSCAR:
```
Tb2PmDy3S6
1.0
3.398 -5.909 0.000
3.398 5.909 0.000
-2.271 0.000 6.428
Tb Pm Dy S
2 1 3 6
Direct
0.166 0.834 0.000
0.834 0.166 0.000
0.500 0.500 0.000
0.000 0.000 0.500
0.336 0.664 0.500
0.664 0.336 0.500
0.075 0.415 0.744
0.246 0.246 0.254
0.415 0.075 0.744
0.585 0.925 0.256
0.754 0.754 0.746
0.925 0.585 0.256
```

Summary:
Space group ... C2/m
Total moment ... 0.00 μB per formula unit
E_form (uncorrected) ... -2.009 eV/atom

***

# 12
Entry from Alexandria via LeMat-Bulk: a relaxed structure of AcThIrAu (PBE-GGA).

Geometry as POSCAR:
```
AcThIrAu
1.0
2.124 1.226 7.464
-2.124 1.226 7.464
0.000 -2.452 7.464
Ac Th Ir Au
1 1 1 1
Direct
0.000 0.000 0.000
0.187 0.187 0.187
0.586 0.586 0.586
0.766 0.766 0.766
```

Summary:
Space group ... R3m
Total moment ... 0.00 μB per formula unit

***

# 13
Entry from Alexandria via LeMat-Bulk: a relaxed structure of KBaNb (PBE-GGA).

Geometry as POSCAR:
```
KBaNb
1.0
2.641 -12.850 0.000
2.641 12.850 0.000
0.000 0.000 4.228
K Ba Nb
2 2 2
Direct
0.188 0.812 0.750
0.812 0.188 0.250
0.429 0.571 0.750
0.571 0.429 0.250
0.027 0.973 0.750
0.973 0.027 0.250
```

Summary:
Space group ... Cmcm
Total moment ... 0.00 μB per formula unit

***

E, record by record: -64.92, -59.44, -39.79, -32.47, -77.90, -87.33, -42.18, -59.36, -21.91, -31.74, -76.69, -26.85, -22.63 eV per cell